# ZrUNiO6, optimized geometry, DFT PBE+U
data_ZrUNiO6
_chemical_formula_sum 'Zr2 U2 Ni2 O12'
_symmetry_space_group_name_H-M 'P -3 1 c'
_symmetry_Int_Tables_number 163
_symmetry_space_group_name_Hall '-P 3 2c'
_cell_length_a 5.2712
_cell_length_b 5.2712
_cell_length_c 9.5008
_cell_angle_alpha 90.00
_cell_angle_beta 90.00
_cell_angle_gamma 120.00
loop_
_atom_site_label
_atom_site_fract_x
_atom_site_fract_y
_atom_site_fract_z
Zr1 0.0000 0.0000 0.0000
U1 0.3333 0.6667 0.2500
Ni1 0.3333 0.6667 0.7500
O1 0.0009 0.3322 0.1301
# DFT total energy = -152.5 eV for the cell shown